a) Below is a PBEsol-optimized structure of LiCuPb2, with properties calculated at the meta-GGA SCAN level.

Output
**Mass density**: 9.7 g/cm3
**D(E_F)**: 1.29 states/eV/cell

Cell: 3.315 4.869 5.614 Å, 106.11 107.17 90.00°
Fractional coordinates of all 4 atoms:
Pb  0.233  0.691  0.466
Pb  0.011  0.050  0.021
Cu  0.482  0.530  0.963
Li  0.775  0.229  0.549

b) Below is a PBEsol-optimized structure of LiCuPb2, with properties calculated at the meta-GGA SCAN level.

Output
**Mass density**: 9.8 g/cm3
**D(E_F)**: 1.49 states/eV/cell

Cell: 3.536 4.812 4.812 Å, 90.00 90.00 90.00°
Fractional coordinates of all 4 atoms:
Cu  0.500  0.500  0.500
Li  0.500  0.000  0.000
Pb  0.000  0.000  0.500
Pb  0.000  0.500  0.000

Name the most stable of them. b).